# PBE BeHg3S, relaxed
# **Polymorph energy (0 for the lowest one)**: 0 meV/atom
# **Crystal system**: cubic
# **DFT total energy**: -1.327 eV per atom
# **Total magnetization**: 0.4 μB per formula unit
# **Formation energy from raw total energies**: 0.424 eV per atom
# **Space group**: No. 221
data_BeHg3S
_chemical_formula_sum 'Be1 Hg3 S1'
_space_group_name_H-M_alt 'P 1'
_space_group_IT_number 1
_cell_length_a 4.854
_cell_length_b 4.854
_cell_length_c 4.854
_cell_angle_alpha 90.00
_cell_angle_beta 90.00
_cell_angle_gamma 90.00
loop_
_space_group_symop_operation_xyz
'x,y,z'
loop_
_atom_site_label
_atom_site_fract_x
_atom_site_fract_y
_atom_site_fract_z
Be1 0.000 0.000 0.000
S1 0.500 0.500 0.500
Hg1 0.000 0.500 0.000
Hg2 0.000 0.000 0.500
Hg3 0.500 0.000 0.000